[1]
Entry from Alexandria: a geometry-optimized YCuO structure (PBE).

Computed properties:
M_tot, μB per formula unit: 0.0
Raw total energy, eV/cell: -60.9

Cell: 3.6072 3.6072 15.0016 Å, 90.00 90.00 120.00°
Space group R3m (No. 160, hexagonal axes)
One atom of each set of equivalent atoms:
Y  0.0000  0.0000  0.0000 x3
Cu  0.0000  0.0000  0.5198 x3
O  0.0000  0.0000  0.3848 x3


[2]
Entry from Alexandria: a geometry-optimized YCu3O structure (PBE).

Computed properties:
ΔE to the lowest computed polymorph, meV per atom: 0
DOS at the Fermi energy, states/eV per atom: 0.8051
M_tot, μB per formula unit: 0.0
Raw total energy, eV/cell: -23.8

Cell: 4.237 4.237 4.237 Å, 90.00 90.00 90.00°
Space group Pm-3m (No. 221)
One atom of each set of equivalent atoms:
Y  0.000  0.000  0.000 x1
Cu  0.000  0.500  0.500 x3
O  0.500  0.500  0.500 x1


[3]
Entry from Alexandria: a geometry-optimized Y2CuO2 structure (PBE).

Computed properties:
ΔE to the lowest computed polymorph, meV per atom: 9
DOS at the Fermi energy, states/eV per atom: 0.8172
M_tot, μB per formula unit: 0.0
Raw total energy, eV/cell: -72.3

Cell: 4.549 4.549 9.140 Å, 90.00 90.00 90.00°
Space group I4/mmm (No. 139)
One atom of each set of equivalent atoms:
Y  0.000  0.500  0.250 x4
Cu  0.000  0.000  0.000 x2
O  0.000  0.000  0.287 x4


[4]
Entry from Alexandria: a geometry-optimized YCuO3 structure (PBE).

Computed properties:
DOS at the Fermi energy, states/eV per atom: 0.2224
M_tot, μB per formula unit: 0.0
Raw total energy, eV/cell: -212.8

Cell: 6.2684 6.2684 11.1211 Å, 90.00 90.00 120.00°
Space group P6_3cm (No. 185)
One atom of each set of equivalent atoms:
Y  0.0000  0.0000  0.0000 x2
Y  0.3333  0.6667  0.4627 x4
Cu  0.0000  0.3336  0.2280 x6
O  0.0000  0.0000  0.2107 x2
O  0.0000  0.3141  0.3923 x6
O  0.0000  0.3522  0.0635 x6
O  0.3333  0.6667  0.2422 x4


[5]
Entry from Alexandria: a geometry-optimized Y4Cu2O7 structure (PBE).

Computed properties:
M_tot, μB per formula unit: 0.0
Raw total energy, eV/cell: -208.3

Cell: 12.188 3.680 8.354 Å, 90.00 109.05 90.00°
Space group C2/m (No. 12)
One atom of each set of equivalent atoms:
Y  0.143  0.000  0.338 x4
Y  0.163  0.000  0.822 x4
Cu  0.000  0.500  0.000 x2
Cu  0.000  0.500  0.500 x2
O  0.000  0.000  0.500 x2
O  0.013  0.500  0.789 x4
O  0.221  0.000  0.113 x4
O  0.249  0.000  0.621 x4


[6]
Entry from Alexandria: a geometry-optimized Y2Cu2O5 structure (PBE).

Computed properties:
ΔE to the lowest computed polymorph, meV per atom: 0
DOS at the Fermi energy, states/eV per atom: 0.2557
M_tot, μB per formula unit: 0.0
Raw total energy, eV/cell: -262.7

Cell: 6.278 11.246 7.201 Å, 90.00 90.00 90.00°
Space group Pnma (No. 62)
One atom of each set of equivalent atoms:
Y  0.250  0.020  0.120 x8
Cu  0.070  0.250  0.345 x4
Cu  0.089  0.250  0.874 x4
O  0.071  0.086  0.858 x8
O  0.095  0.088  0.385 x8
O  0.244  0.750  0.620 x4